[1]
The following is a SCAN calculation of a crystal of ScCoBr2 relaxed with PBEsol, from the Alexandria database.

- M_tot (μB/atom) = 0.49
- symmetry = No. 166
- DOS(E_F) (states/eV per cell) = 0.782
- formation energy (no corrections) (kJ/mol of formula units) = -164

Lattice parameters (Å, degrees): 3.586 3.586 8.300 77.52 77.52 60.00
Each line ends with the local moment (μB).
Element x y z (fractional)
Sc 0.000 0.000 0.000  0.04
Co 0.500 0.500 0.500  1.77
Br 0.891 0.891 0.326  0.04
Br 0.109 0.109 0.674  0.04



[2]
The following is a SCAN calculation of a crystal of CuPbSe2 relaxed with PBEsol, from the Alexandria database.

- M_tot (μB/atom) = 0.00
- symmetry = No. 12
- DOS(E_F) (states/eV per cell) = 1.672
- formation energy (no corrections) (kJ/mol of formula units) = 32

Lattice parameters (Å, degrees): 4.870 4.864 4.864 113.08 107.76 107.76
Element x y z (fractional)
Cu 0.500 0.000 0.000
Pb 0.500 0.500 0.500
Se 0.000 0.500 0.000
Se 0.000 0.000 0.500



[3]
The following is a SCAN calculation of a crystal of ZrScCo2 relaxed with PBEsol, from the Alexandria database.

- M_tot (μB/atom) = 0.00
- formation enthalpy at 0 K (eV/f.u.) = -0.744
- symmetry = No. 38
- DOS(E_F) (states/eV per cell) = 2.443

Lattice parameters (Å, degrees): 3.606 3.524 5.242 90.00 110.12 90.00
Element x y z (fractional)
Sc 0.480 0.000 0.959
Co 0.048 0.500 0.096
Co 0.200 0.000 0.400
Zr 0.772 0.500 0.545



[4]
The following is a SCAN calculation of a crystal of BaAs2Rh relaxed with PBEsol, from the Alexandria database.

- M_tot (μB/atom) = 0.00
- formation enthalpy at 0 K (eV/f.u.) = -1.111
- symmetry = No. 99
- DOS(E_F) (states/eV per cell) = 2.609

Lattice parameters (Å, degrees): 3.474 3.474 7.180 90.00 90.00 90.00
Element x y z (fractional)
As 0.000 0.000 0.959
As 0.500 0.500 0.194
Rh 0.500 0.500 0.853
Ba 0.000 0.000 0.494



[5]
The following is a SCAN calculation of a crystal of U4Ga12Ni relaxed with PBEsol, from the Alexandria database.

- M_tot (μB/atom) = 0.57
- formation enthalpy at 0 K (eV/f.u.) = -3.426
- symmetry = No. 229
- DOS(E_F) (states/eV per cell) = 23.577

Lattice parameters (Å, degrees): 7.294 7.294 7.294 109.47 109.47 109.47
Each line ends with the local moment (μB).
Element x y z (fractional)
U 0.500 0.000 0.000  2.06
U 0.000 0.500 0.000  2.06
U 0.000 0.000 0.500  2.06
U 0.500 0.500 0.500  2.06
Ga 0.500 0.750 0.250  0.00
Ga 0.500 0.250 0.750  0.00
Ga 0.750 0.500 0.250  0.00
Ga 0.250 0.500 0.750  0.00
Ga 0.250 0.750 0.500  0.00
Ga 0.750 0.250 0.500  0.00
Ga 0.000 0.286 0.286  0.02
Ga 0.000 0.714 0.714  0.02
Ga 0.714 0.000 0.714  0.02
Ga 0.286 0.000 0.286  0.02
Ga 0.714 0.714 0.000  0.02
Ga 0.286 0.286 0.000  0.02
Ni 0.000 0.000 0.000  0.28



[6]
The following is a SCAN calculation of a crystal of MgCd2Fe relaxed with PBEsol, from the Alexandria database.

- M_tot (μB/atom) = 0.62
- formation enthalpy at 0 K (eV/f.u.) = 0.513
- symmetry = No. 139
- DOS(E_F) (states/eV per cell) = 4.049

Lattice parameters (Å, degrees): 4.184 4.184 4.960 114.95 114.95 90.00
Each line ends with the local moment (μB).
Element x y z (fractional)
Cd 0.750 0.250 0.500  -0.05
Cd 0.250 0.750 0.500  -0.05
Fe 0.500 0.500 0.000  2.65
Mg 0.000 0.000 0.000  -0.02



[7]
The following is a SCAN calculation of a crystal of KCa2Te relaxed with PBEsol, from the Alexandria database.

- M_tot (μB/atom) = 0.20
- symmetry = No. 99
- DOS(E_F) (states/eV per cell) = 2.123
- formation energy (no corrections) (kJ/mol of formula units) = -280

Lattice parameters (Å, degrees): 4.142 4.142 9.227 90.00 90.00 90.00
Each line ends with the local moment (μB).
Element x y z (fractional)
Ca 0.000 0.000 0.939  0.07
Ca 0.500 0.500 0.201  0.07
K 0.000 0.000 0.548  0.01
Te 0.500 0.500 0.812  0.01



[8]
The following is a SCAN calculation of a crystal of Na6PbO5 relaxed with PBEsol, from the Alexandria database.

- M_tot (μB/atom) = 0.00
- symmetry = No. 107
- DOS(E_F) (states/eV per cell) = 0.000
- formation energy (no corrections) (kJ/mol of formula units) = -1652

Lattice parameters (Å, degrees): 5.550 6.133 6.133 78.19 63.10 63.10
Element x y z (fractional)
Na 0.603 0.000 0.604
Na 0.603 0.604 0.000
Na 0.206 0.396 0.000
Na 0.304 0.500 0.500
Na 0.206 0.000 0.396
Na 0.804 0.500 0.500
Pb 0.962 0.000 0.000
O 0.065 0.272 0.728
O 0.581 0.000 0.000
O 0.793 0.272 0.272
O 0.065 0.728 0.272
O 0.337 0.728 0.728



Which formula does entry 5 have? U4Ga12Ni



Repeat the first record exactly.
The following is a SCAN calculation of a crystal of ScCoBr2 relaxed with PBEsol, from the Alexandria database.

- M_tot (μB/atom) = 0.49
- symmetry = No. 166
- DOS(E_F) (states/eV per cell) = 0.782
- formation energy (no corrections) (kJ/mol of formula units) = -164

Lattice parameters (Å, degrees): 3.586 3.586 8.300 77.52 77.52 60.00
Each line ends with the local moment (μB).
Element x y z (fractional)
Sc 0.000 0.000 0.000  0.04
Co 0.500 0.500 0.500  1.77
Br 0.891 0.891 0.326  0.04
Br 0.109 0.109 0.674  0.04



Which of these has the highest M_tot? MgCd2Fe